1.
The following is a PBE-GGA calculation of LiReAg2 after structural relaxation, from Alexandria via LeMat-Bulk.

Calculated values
Distance to the lowest polymorph of the same formula in eV/atom: 0.094
Energy in eV per atom: -4.628
Energy of formation from the pure elements in kJ per mole of atoms: 37
Magnetic moment in μB per atom: 0.1560

a b c (Å): 4.941 4.941 2.676
angles (deg): 90.00 90.00 90.00
Last column: magnetic moment on the atom in μB.
Element x y z (fractional)
Ag 0.500 0.500 0.000  0.02
Re 0.000 0.500 0.500  0.54
Ag 0.000 0.000 0.000  0.02
Li 0.500 0.000 0.500  -0.01

2.
The following is a PBE-GGA calculation of SrDyNi2As2 after structural relaxation, from Alexandria via LeMat-Bulk.

Calculated values
Energy in eV per atom: -5.461
Energy of formation from the pure elements in kJ per mole of atoms: -90
Magnetic moment in μB per atom: 0.0000

a b c (Å): 4.083 4.083 8.358
angles (deg): 90.00 90.00 120.00
Element x y z (fractional)
As 0.667 0.333 0.732
Ni 0.667 0.333 0.277
As 0.333 0.667 0.268
Sr 0.000 0.000 0.000
Dy 0.000 0.000 0.500
Ni 0.333 0.667 0.723

Q: What is the formula in the second record?
A: SrDyNi2As2

Q: Which formula does entry 2 have?
A: SrDyNi2As2

Q: Among the records above, which one has the lowest energy?
A: SrDyNi2As2